No. 1
# ZrGa2O2 | the Alexandria database | PBE | relaxed
# E_tot: -28.55 eV per cell
# formation energy without anion corrections: -0.8067 eV/atom
# spin magnetization: 0.00 μB per formula unit
# crystal system: tetragonal
# offset from the most stable computed form: 0.00 kcal/mol of atoms
data_ZrGa2O2
_chemical_formula_sum 'Zr1 Ga2 O2'
_symmetry_space_group_name_H-M 'P 1'
_symmetry_Int_Tables_number 1
_cell_length_a 3.490
_cell_length_b 3.490
_cell_length_c 6.584
_cell_angle_alpha 74.63
_cell_angle_beta 74.63
_cell_angle_gamma 90.00
loop_
_symmetry_equiv_pos_as_xyz
'x,y,z'
loop_
_atom_site_label
_atom_site_fract_x
_atom_site_fract_y
_atom_site_fract_z
Ga1 0.334 0.334 0.332
Ga2 0.666 0.666 0.668
Zr1 0.000 0.000 0.000
O1 0.250 0.750 0.500
O2 0.750 0.250 0.500



No. 2
# PmZnGa3Cu | the Alexandria database | PBE | relaxed
# E_tot: -39.92 eV per cell
# spin magnetization: 0.00 μB per formula unit
# crystal system: orthorhombic
# energy of formation: -126 meV per atom
data_PmZnGa3Cu
_chemical_formula_sum 'Pm2 Zn2 Ga6 Cu2'
_symmetry_space_group_name_H-M 'P 1'
_symmetry_Int_Tables_number 1
_cell_length_a 6.009
_cell_length_b 6.072
_cell_length_c 7.061
_cell_angle_alpha 115.47
_cell_angle_beta 90.00
_cell_angle_gamma 90.00
loop_
_symmetry_equiv_pos_as_xyz
'x,y,z'
loop_
_atom_site_label
_atom_site_fract_x
_atom_site_fract_y
_atom_site_fract_z
Zn1 0.750 0.653 0.306
Zn2 0.250 0.347 0.694
Pm1 0.750 0.296 0.592
Pm2 0.250 0.704 0.408
Ga1 0.750 0.861 0.722
Ga2 0.000 0.288 0.000
Ga3 0.250 0.139 0.278
Ga4 0.000 0.712 0.000
Ga5 0.500 0.712 0.000
Ga6 0.500 0.288 0.000
Cu1 0.750 0.075 0.150
Cu2 0.250 0.925 0.850



No. 3
# PrGdSbBr | the Alexandria database | PBE | relaxed
# E_tot: -29.05 eV per cell
# formation energy without anion corrections: -1.0979 eV/atom
# spin magnetization: 8.14 μB per formula unit
# crystal system: cubic
data_PrGdSbBr
_chemical_formula_sum 'Pr1 Gd1 Sb1 Br1'
_symmetry_space_group_name_H-M 'P 1'
_symmetry_Int_Tables_number 1
_cell_length_a 5.396
_cell_length_b 5.396
_cell_length_c 5.396
_cell_angle_alpha 60.00
_cell_angle_beta 60.00
_cell_angle_gamma 60.00
loop_
_symmetry_equiv_pos_as_xyz
'x,y,z'
loop_
_atom_site_label
_atom_site_fract_x
_atom_site_fract_y
_atom_site_fract_z
Pr1 0.250 0.250 0.250
Br1 0.500 0.500 0.500
Sb1 0.000 0.000 0.000
Gd1 0.750 0.750 0.750



No. 4
# K2BaSnC | the Alexandria database | PBE | relaxed
# E_tot: -13.63 eV per cell
# spin magnetization: 0.00 μB per formula unit
# crystal system: tetragonal
# energy of formation: 742 meV per atom
data_K2BaSnC
_chemical_formula_sum 'K2 Ba1 Sn1 C1'
_symmetry_space_group_name_H-M 'P 1'
_symmetry_Int_Tables_number 1
_cell_length_a 5.997
_cell_length_b 4.694
_cell_length_c 5.997
_cell_angle_alpha 90.00
_cell_angle_beta 90.00
_cell_angle_gamma 90.00
loop_
_symmetry_equiv_pos_as_xyz
'x,y,z'
loop_
_atom_site_label
_atom_site_fract_x
_atom_site_fract_y
_atom_site_fract_z
K1 0.000 0.000 0.500
K2 0.500 0.000 0.000
Sn1 0.000 0.500 0.000
Ba1 0.500 0.500 0.500
C1 0.000 0.000 0.000



No. 5
# Ti2Be2SiNi5 | the Alexandria database | PBE | relaxed
# E_tot: -124.08 eV per cell
# formation energy without anion corrections: -0.4470 eV/atom
# spin magnetization: 0.00 μB per formula unit
# crystal system: tetragonal
data_Ti2Be2SiNi5
_chemical_formula_sum 'Ti4 Be4 Si2 Ni10'
_symmetry_space_group_name_H-M 'P 1'
_symmetry_Int_Tables_number 1
_cell_length_a 3.161
_cell_length_b 8.450
_cell_length_c 8.450
_cell_angle_alpha 90.00
_cell_angle_beta 90.00
_cell_angle_gamma 90.00
loop_
_symmetry_equiv_pos_as_xyz
'x,y,z'
loop_
_atom_site_label
_atom_site_fract_x
_atom_site_fract_y
_atom_site_fract_z
Ni1 0.500 0.000 0.500
Ni2 0.500 0.933 0.208
Ni3 0.500 0.500 0.000
Ni4 0.500 0.792 0.933
Ni5 0.500 0.433 0.292
Ni6 0.500 0.208 0.067
Ni7 0.500 0.292 0.567
Ni8 0.500 0.708 0.433
Ni9 0.500 0.067 0.792
Ni10 0.500 0.567 0.708
Ti1 0.000 0.822 0.678
Ti2 0.000 0.178 0.322
Ti3 0.000 0.678 0.178
Ti4 0.000 0.322 0.822
Be1 0.000 0.882 0.382
Be2 0.000 0.118 0.618
Be3 0.000 0.382 0.118
Be4 0.000 0.618 0.882
Si1 0.000 0.500 0.500
Si2 0.000 0.000 0.000